## Mg7Ag2Rh2 (PBE)

Data for a relaxed Mg7Ag2Rh2 crystal.

a = 5.734 Å, b = 5.734 Å, c = 7.558 Å
α = 90.00°, β = 90.00°, γ = 117.85°
Sites, in units of the cell vectors:
Mg 0.000 0.000 0.000
Mg 0.000 0.500 0.292
Mg 0.000 0.500 0.708
Mg 0.500 0.000 0.292
Mg 0.500 0.000 0.708
Mg 0.500 0.500 0.188
Mg 0.500 0.500 0.812
Ag 0.236 0.236 0.500
Ag 0.764 0.764 0.500
Rh 0.276 0.724 0.000
Rh 0.724 0.276 0.000

Summary:
Formation energy = -0.135 eV/atom
Space group = Cmmm, No. 65
D(E_F) = 3.10 states/eV per cell

***

## Mg4Ag3Rh (PBE)

Data for a relaxed Mg4Ag3Rh crystal.

a = 3.271 Å, b = 3.271 Å, c = 13.143 Å
α = 90.00°, β = 90.00°, γ = 90.00°
Sites, in units of the cell vectors:
Mg 0.000 0.000 0.109
Mg 0.000 0.000 0.371
Mg 0.000 0.000 0.629
Mg 0.000 0.000 0.891
Ag 0.500 0.500 0.241
Ag 0.500 0.500 0.500
Ag 0.500 0.500 0.759
Rh 0.500 0.500 0.000

Summary:
Formation energy = -0.314 eV/atom
Space group = P4/mmm, No. 123
D(E_F) = 2.90 states/eV per cell

***

## Mg6AgRh2 (PBE)

Data for a relaxed Mg6AgRh2 crystal.

a = 8.609 Å, b = 8.609 Å, c = 4.298 Å
α = 90.00°, β = 90.00°, γ = 90.00°
Sites, in units of the cell vectors:
Mg 0.023 0.317 0.000
Mg 0.140 0.860 0.500
Mg 0.183 0.523 0.500
Mg 0.317 0.023 0.000
Mg 0.360 0.360 0.000
Mg 0.477 0.817 0.500
Mg 0.523 0.183 0.500
Mg 0.640 0.640 0.000
Mg 0.683 0.977 0.000
Mg 0.817 0.477 0.500
Mg 0.860 0.140 0.500
Mg 0.977 0.683 0.000
Ag 0.000 0.000 0.000
Ag 0.500 0.500 0.500
Rh 0.193 0.193 0.500
Rh 0.307 0.693 0.000
Rh 0.693 0.307 0.000
Rh 0.807 0.807 0.500

Summary:
Formation energy = -0.309 eV/atom
Space group = P4_2/mnm, No. 136
D(E_F) = 8.89 states/eV per cell

***

## Mg2Ag2Rh (PBE)

Data for a relaxed Mg2Ag2Rh crystal.

a = 7.335 Å, b = 7.335 Å, c = 3.310 Å
α = 90.00°, β = 90.00°, γ = 90.00°
Sites, in units of the cell vectors:
Mg 0.173 0.327 0.000
Mg 0.327 0.827 0.000
Mg 0.673 0.173 0.000
Mg 0.827 0.673 0.000
Ag 0.131 0.631 0.500
Ag 0.369 0.131 0.500
Ag 0.631 0.869 0.500
Ag 0.869 0.369 0.500
Rh 0.000 0.000 0.500
Rh 0.500 0.500 0.500

Summary:
Formation energy = -0.029 eV/atom
Space group = P4/mbm, No. 127
D(E_F) = 3.40 states/eV per cell

***

> The highest D(E_F) belongs to which entry?

Mg6AgRh2

***

Please write out number 2 again, unchanged.
## Mg4Ag3Rh (PBE)

Data for a relaxed Mg4Ag3Rh crystal.

a = 3.271 Å, b = 3.271 Å, c = 13.143 Å
α = 90.00°, β = 90.00°, γ = 90.00°
Sites, in units of the cell vectors:
Mg 0.000 0.000 0.109
Mg 0.000 0.000 0.371
Mg 0.000 0.000 0.629
Mg 0.000 0.000 0.891
Ag 0.500 0.500 0.241
Ag 0.500 0.500 0.500
Ag 0.500 0.500 0.759
Rh 0.500 0.500 0.000

Summary:
Formation energy = -0.314 eV/atom
Space group = P4/mmm, No. 123
D(E_F) = 2.90 states/eV per cell

***

> The highest D(E_F) belongs to which entry?

Mg6AgRh2